(1)
Entry from the Alexandria database: a geometry-optimized BeP structure (PBE).

**Density of states at the Fermi level**: 0.53 states/eV/f.u.
**Crystal system**: hexagonal
**Total energy**: -4.5160 eV/atom
**DFT formation energy**: 0.052 eV per atom
**Mass density**: 2.7 Mg/m³
**Size of the total moment**: 0.00 μB per atom

Structure (CIF):
```
data_BeP
_symmetry_space_group_name_H-M 'P 63/m m c'
_symmetry_Int_Tables_number 194
_symmetry_space_group_name_Hall '-P 6c 2c'
_cell_length_a 3.5136
_cell_length_b 3.5136
_cell_length_c 4.5324
_cell_angle_alpha 90.00
_cell_angle_beta 90.00
_cell_angle_gamma 120.00
loop_
_atom_site_label
_atom_site_type_symbol
_atom_site_fract_x
_atom_site_fract_y
_atom_site_fract_z
Be1 Be 0.0000 0.0000 0.0000
P1 P 0.3333 0.6667 0.2500
```



(2)
Entry from the Alexandria database: a geometry-optimized BeP structure (PBE).

**Density of states at the Fermi level**: 1.05 states/eV/f.u.
**Crystal system**: trigonal
**Total energy**: -4.1306 eV/atom
**DFT formation energy**: 0.437 eV per atom
**Mass density**: 2.2 Mg/m³
**Size of the total moment**: 0.00 μB per atom

Structure (CIF):
```
data_BeP
_symmetry_space_group_name_H-M 'R -3 m'
_symmetry_Int_Tables_number 166
_symmetry_space_group_name_Hall '-R 3 2"'
_cell_length_a 2.6997
_cell_length_b 2.6997
_cell_length_c 28.4321
_cell_angle_alpha 90.00
_cell_angle_beta 90.00
_cell_angle_gamma 120.00
loop_
_atom_site_label
_atom_site_type_symbol
_atom_site_fract_x
_atom_site_fract_y
_atom_site_fract_z
Be1 Be 0.0000 0.0000 0.1327
P1 P 0.0000 0.0000 0.4092
```



Which value of density of states at the Fermi level does entry 1 give?
0.53 states/eV/f.u.



mass density of number 2 (BeP)?
2.2 Mg/m³



The highest mass density belongs to which entry?
number 1